1.
# VGaBr4

An optimized crystal structure of VGaBr4 (PBE, Alexandria). Values from VASP.

Values from the calculation:
ρ ... 3.813 g/cm3
VASP energy ... -0.287 Ry/atom
Volume ... 191.73 Å³/f.u.
Magnetization ... 0.332 μB/atom
Formation energy from raw total energies ... -761 meV/atom
Symmetry ... Imma, No. 74

Cell and atoms, written as Quantum ESPRESSO input:
```
&SYSTEM
  ibrav = 0, nat = 12, ntyp = 3
/
ATOMIC_SPECIES
V 50.94 V.upf
Ga 69.72 Ga.upf
Br 79.90 Br.upf
ATOMIC_POSITIONS angstrom
V 1.2261 2.3964 -5.0271
V -2.0723 1.9437 -3.1159
Ga -3.1068 -1.8589 -1.9466
Ga -1.0345 -3.8026 1.1693
Br 0.8067 0.1600 -6.1433
Br 3.7367 1.7716 -4.6978
Br 2.0018 3.3989 -7.3065
Br -2.3741 -0.2766 -4.3002
Br 2.7573 -2.5356 -3.4155
Br -3.3535 -4.5838 -3.0179
Br -1.6185 -6.2111 -0.4092
Br -0.4235 -2.9722 -1.5724
CELL_PARAMETERS angstrom
-4.1446 3.8874 -6.2318
6.5968 0.9055 -3.8224
-2.0690 -7.6051 2.3386
```

2.
# PrCu2Au4

An optimized crystal structure of PrCu2Au4 (PBE, Alexandria). Values from VASP.

Values from the calculation:
ρ ... 13.281 g/cm3
VASP energy ... -0.300 Ry/atom
Volume ... 132.01 Å³/f.u.
Magnetization ... 0.000 μB/atom
Energy of formation from the pure elements ... -358 meV/atom
Symmetry ... C2/m, No. 12

Cell and atoms, written as Quantum ESPRESSO input:
```
&SYSTEM
  ibrav = 0, nat = 7, ntyp = 3
/
ATOMIC_SPECIES
Pr 140.91 Pr.upf
Au 196.97 Au.upf
Cu 63.55 Cu.upf
ATOMIC_POSITIONS angstrom
Pr 4.6269 0.0124 2.4896
Au 4.5041 2.6581 8.3309
Au 2.2522 1.9906 1.3726
Au 5.3728 4.7873 6.7059
Au 1.3835 -0.1386 2.9976
Cu 4.5349 2.3276 5.4744
Cu 2.2214 2.3211 4.2291
CELL_PARAMETERS angstrom
4.6269 0.0124 2.4896
2.1615 5.0069 1.5552
-0.0321 -0.3706 5.6587
```

3.
# TaMn2Cl

An optimized crystal structure of TaMn2Cl (PBE, Alexandria). Values from VASP.

Values from the calculation:
ρ ... 8.777 g/cm3
VASP energy ... -0.548 Ry/atom
Volume ... 61.73 Å³/f.u.
Magnetization ... 1.425 μB/atom
Formation energy from raw total energies ... 553 meV/atom
Symmetry ... Pmmm, No. 47

Cell and atoms, written as Quantum ESPRESSO input:
```
&SYSTEM
  ibrav = 0, nat = 4, ntyp = 3
/
ATOMIC_SPECIES
Cl 35.45 Cl.upf
Mn 54.94 Mn.upf
Ta 180.95 Ta.upf
ATOMIC_POSITIONS angstrom
Cl -0.3298 -3.1780 0.4535
Mn 0.0000 0.0000 0.0000
Mn -1.2585 -1.7698 -1.6630
Ta -1.9496 -1.2063 1.4385
CELL_PARAMETERS angstrom
-2.8782 0.2019 -0.6780
0.3613 -3.7415 -2.6479
-1.0209 -2.6145 3.5550
```

4.
# Ac3Si2SbRh9

An optimized crystal structure of Ac3Si2SbRh9 (PBE, Alexandria). Values from VASP.

Values from the calculation:
ρ ... 9.612 g/cm3
VASP energy ... -0.498 Ry/atom
Volume ... 308.39 Å³/f.u.
Magnetization ... 0.000 μB/atom
Formation energy from raw total energies ... -548 meV/atom
Symmetry ... P-3m1, No. 164

Cell and atoms, written as Quantum ESPRESSO input:
```
&SYSTEM
  ibrav = 0, nat = 15, ntyp = 4
/
ATOMIC_SPECIES
Ac 227.00 Ac.upf
Si 28.09 Si.upf
Sb 121.76 Sb.upf
Rh 102.91 Rh.upf
ATOMIC_POSITIONS angstrom
Ac -3.1003 -4.2327 -3.7169
Ac 0.0000 0.0000 0.0000
Ac -2.3537 0.4933 -3.9899
Si 0.4545 -2.5488 -3.2288
Si -5.9085 -1.1906 -4.4779
Sb -3.3314 -1.5780 -0.4574
Rh -5.2412 1.0026 -4.5475
Rh -3.9357 -1.4427 -5.6200
Rh -4.4546 -1.1923 -2.7042
Rh -0.9994 -2.5471 -5.0026
Rh -1.5183 -2.2967 -2.0868
Rh -0.2128 -4.7420 -3.1593
Rh -0.9162 2.5563 -2.1469
Rh 1.5205 -2.8480 -1.2491
Rh 0.6044 -0.2917 -3.3960
CELL_PARAMETERS angstrom
-1.8323 5.1127 -4.2938
3.0411 -5.6960 -2.4982
-6.6628 -3.1561 -0.9147
```

5.
# LaFeW2

An optimized crystal structure of LaFeW2 (PBE, Alexandria). Values from VASP.

Values from the calculation:
ρ ... 13.018 g/cm3
VASP energy ... -0.685 Ry/atom
Volume ... 71.74 Å³/f.u.
Magnetization ... 0.448 μB/atom
Energy of formation from the pure elements ... 509 meV/atom
Symmetry ... Cmm2, No. 35

Cell and atoms, written as Quantum ESPRESSO input:
```
&SYSTEM
  ibrav = 0, nat = 4, ntyp = 3
/
ATOMIC_SPECIES
Fe 55.84 Fe.upf
La 138.91 La.upf
W 183.84 W.upf
ATOMIC_POSITIONS angstrom
Fe 0.0000 0.0000 4.3735
La 0.9417 1.3122 6.9113
W 0.0000 0.0000 0.3184
W 0.9417 1.3122 2.4550
CELL_PARAMETERS angstrom
2.8670 -0.0694 0.0000
-0.9836 2.6938 0.0000
0.0000 0.0000 9.3721
```

6.
# YZr2Hg

An optimized crystal structure of YZr2Hg (PBE, Alexandria). Values from VASP.

Values from the calculation:
ρ ... 8.294 g/cm3
VASP energy ... -0.432 Ry/atom
Volume ... 94.49 Å³/f.u.
Magnetization ... 0.000 μB/atom
Energy of formation from the pure elements ... 83 meV/atom
Symmetry ... P4/mmm, No. 123

Cell and atoms, written as Quantum ESPRESSO input:
```
&SYSTEM
  ibrav = 0, nat = 4, ntyp = 3
/
ATOMIC_SPECIES
Hg 200.59 Hg.upf
Y 88.91 Y.upf
Zr 91.22 Zr.upf
ATOMIC_POSITIONS angstrom
Hg 2.6260 0.0000 1.7127
Y 0.0000 2.6260 1.7127
Zr 0.0000 0.0000 0.0000
Zr 2.6260 2.6260 0.0000
CELL_PARAMETERS angstrom
5.2520 0.0000 0.0000
0.0000 5.2520 0.0000
0.0000 0.0000 3.4254
```

7.
# Cs2RbInAu

An optimized crystal structure of Cs2RbInAu (PBE, Alexandria). Values from VASP.

Values from the calculation:
ρ ... 3.887 g/cm3
VASP energy ... -0.133 Ry/atom
Volume ... 283.25 Å³/f.u.
Magnetization ... 0.009 μB/atom
Energy of formation from the pure elements ... -75 meV/atom
Symmetry ... P4/mmm, No. 123

Cell and atoms, written as Quantum ESPRESSO input:
```
&SYSTEM
  ibrav = 0, nat = 5, ntyp = 4
/
ATOMIC_SPECIES
Cs 132.91 Cs.upf
Au 196.97 Au.upf
Rb 85.47 Rb.upf
In 114.82 In.upf
ATOMIC_POSITIONS angstrom
Cs 0.0000 3.6162 0.0000
Cs 3.6162 0.0000 0.0000
Au 0.0000 0.0000 0.0000
Rb 3.6162 3.6162 2.7075
In 0.0000 0.0000 2.7075
CELL_PARAMETERS angstrom
7.2325 0.0000 0.0000
0.0000 7.2325 0.0000
0.0000 0.0000 5.4150
```

8.
# ZnRe4As

An optimized crystal structure of ZnRe4As (PBE, Alexandria). Values from VASP.

Values from the calculation:
ρ ... 14.525 g/cm3
VASP energy ... -0.631 Ry/atom
Volume ... 101.19 Å³/f.u.
Magnetization ... 0.000 μB/atom
Energy of formation from the pure elements ... 705 meV/atom
Symmetry ... F-43m, No. 216

Cell and atoms, written as Quantum ESPRESSO input:
```
&SYSTEM
  ibrav = 0, nat = 6, ntyp = 3
/
ATOMIC_SPECIES
Zn 65.41 Zn.upf
Re 186.21 Re.upf
As 74.92 As.upf
ATOMIC_POSITIONS angstrom
Zn 6.5391 -4.7846 -5.1658
Re 5.6210 -2.2375 -3.7242
Re 3.7105 -3.6434 -4.8405
Re 4.8390 -4.4877 -2.6300
Re 3.2669 -2.3904 -2.5808
As 0.0000 0.0000 0.0000
CELL_PARAMETERS angstrom
4.6970 0.3051 -2.2813
3.1366 -4.1846 -0.0980
0.8851 -2.5000 -4.5084
```

9.
# Ta2Co2Sb

An optimized crystal structure of Ta2Co2Sb (PBE, Alexandria). Values from VASP.

Values from the calculation:
ρ ... 11.846 g/cm3
VASP energy ... -0.604 Ry/atom
Volume ... 84.32 Å³/f.u.
Magnetization ... 0.000 μB/atom
Formation energy from raw total energies ... 184 meV/atom
Symmetry ... I4/mmm, No. 139

Cell and atoms, written as Quantum ESPRESSO input:
```
&SYSTEM
  ibrav = 0, nat = 5, ntyp = 3
/
ATOMIC_SPECIES
Sb 121.76 Sb.upf
Co 58.93 Co.upf
Ta 180.95 Ta.upf
ATOMIC_POSITIONS angstrom
Sb 0.0000 0.0000 0.0000
Co -0.9299 -4.9875 -1.4356
Co 0.6350 -5.2213 0.3681
Ta 0.2495 -2.9352 -0.5970
Ta -0.5445 -7.2735 -0.4704
CELL_PARAMETERS angstrom
-0.3170 -1.3592 -3.0929
2.8128 -1.8268 0.5145
-2.7907 -7.0228 1.5109
```

10.
# Ce2In8Cu

An optimized crystal structure of Ce2In8Cu (PBE, Alexandria). Values from VASP.

Values from the calculation:
ρ ... 7.627 g/cm3
VASP energy ... -0.275 Ry/atom
Volume ... 274.82 Å³/f.u.
Magnetization ... 0.140 μB/atom
Energy of formation from the pure elements ... -300 meV/atom
Symmetry ... P4/mmm, No. 123

Cell and atoms, written as Quantum ESPRESSO input:
```
&SYSTEM
  ibrav = 0, nat = 11, ntyp = 3
/
ATOMIC_SPECIES
Ce 140.12 Ce.upf
In 114.82 In.upf
Cu 63.55 Cu.upf
ATOMIC_POSITIONS angstrom
Ce 0.0000 0.0000 3.7816
Ce 0.0000 0.0000 8.5015
In 0.0000 2.3650 6.1415
In 2.3650 0.0000 6.1415
In 2.3650 2.3650 3.7919
In 2.3650 2.3650 8.4912
In 0.0000 2.3650 1.5161
In 2.3650 0.0000 1.5161
In 0.0000 2.3650 10.7669
In 2.3650 0.0000 10.7669
Cu 0.0000 0.0000 0.0000
CELL_PARAMETERS angstrom
4.7301 0.0000 0.0000
0.0000 4.7301 0.0000
0.0000 0.0000 12.2831
```

Question: What is the VASP energy in the second record?
Answer: -0.300 Ry/atom

What did the ninth record say?
# Ta2Co2Sb

An optimized crystal structure of Ta2Co2Sb (PBE, Alexandria). Values from VASP.

Values from the calculation:
ρ ... 11.846 g/cm3
VASP energy ... -0.604 Ry/atom
Volume ... 84.32 Å³/f.u.
Magnetization ... 0.000 μB/atom
Formation energy from raw total energies ... 184 meV/atom
Symmetry ... I4/mmm, No. 139

Cell and atoms, written as Quantum ESPRESSO input:
```
&SYSTEM
  ibrav = 0, nat = 5, ntyp = 3
/
ATOMIC_SPECIES
Sb 121.76 Sb.upf
Co 58.93 Co.upf
Ta 180.95 Ta.upf
ATOMIC_POSITIONS angstrom
Sb 0.0000 0.0000 0.0000
Co -0.9299 -4.9875 -1.4356
Co 0.6350 -5.2213 0.3681
Ta 0.2495 -2.9352 -0.5970
Ta -0.5445 -7.2735 -0.4704
CELL_PARAMETERS angstrom
-0.3170 -1.3592 -3.0929
2.8128 -1.8268 0.5145
-2.7907 -7.0228 1.5109
```

Question: The lowest ρ belongs to which entry?
Answer: VGaBr4